DFT (GGA+U) results for a geometry-optimized Cs4Ba3MoO8 structure.

POSCAR file:
```
Cs4Ba3MoO8
1.0
7.709 0.000 0.000
0.000 8.181 0.299
-3.855 -3.836 5.463
O Ba Mo Cs
8 3 1 4
Direct
0.194 0.336 0.015
0.179 0.664 0.359
0.821 0.336 0.015
0.179 0.664 0.985
0.806 0.664 0.985
0.732 0.697 0.465
0.821 0.336 0.641
0.268 0.303 0.535
0.500 0.500 0.500
0.000 0.500 0.500
0.500 0.500 0.000
0.000 0.500 0.000
0.500 0.000 0.500
0.000 0.000 0.000
0.500 0.000 0.000
0.000 0.000 0.500
```

Results
Its total DFT energy (no corrections) is -0.1947 hartree per atom. The calculation puts the spin magnetization at 0.000 μB per atom.